Material: Lu4Zn5Ge6
Method: DFT, meta-GGA SCAN
State: PBEsol geometry

Summary:
Symmetry: Cmc2_1
Raw total energy (Ha/atom): -1.009
Energy of formation (eV/atom): -0.57

a b c (Å): 9.2531 9.2531 14.8581
angles (deg): 90.00 90.00 154.21
Fractional coordinates of all 30 atoms:
Lu1 0.0189 0.9811 0.5000
Lu2 0.0326 0.9674 0.2346
Lu3 0.1665 0.8335 0.6956
Lu4 0.1745 0.8255 0.0549
Lu5 0.8255 0.1745 0.5549
Lu6 0.8335 0.1665 0.1956
Lu7 0.9674 0.0326 0.7346
Lu8 0.9811 0.0189 0.0000
Zn1 0.1512 0.8488 0.3720
Zn2 0.3013 0.6987 0.3752
Zn3 0.3449 0.6551 0.7246
Zn4 0.3492 0.6508 0.0167
Zn5 0.4342 0.5658 0.3113
Zn6 0.5658 0.4342 0.8113
Zn7 0.6508 0.3492 0.5167
Zn8 0.6551 0.3449 0.2246
Zn9 0.6987 0.3013 0.8752
Zn10 0.8488 0.1512 0.8720
Ge1 0.1114 0.8886 0.8828
Ge2 0.2245 0.7755 0.5150
Ge3 0.2295 0.7705 0.2323
Ge4 0.4303 0.5697 0.5887
Ge5 0.4343 0.5657 0.8695
Ge6 0.4396 0.5604 0.1436
Ge7 0.5604 0.4396 0.6436
Ge8 0.5657 0.4343 0.3695
Ge9 0.5697 0.4303 0.0887
Ge10 0.7705 0.2295 0.7323
Ge11 0.7755 0.2245 0.0150
Ge12 0.8886 0.1114 0.3828